A.
A geometry-optimized TaFe2Rh structure, computed with PBE-GGA.

Its volume is 221.13 Å³/cell.

It has space group Fm-3m (No. 225), with a = 6.0471 Å, b = 6.0471 Å, c = 6.0471 Å, α = 90.00°, β = 90.00° and γ = 90.00°. The inequivalent atoms are Ta at (0.0000, 0.0000, 0.0000), Fe at (0.2500, 0.2500, 0.2500) and Rh at (0.0000, 0.0000, 0.5000).



B.
A geometry-optimized TaFe2Rh structure, computed with PBE-GGA.

Its volume is 242.17 Å³/cell.

It has space group I-42d (No. 122), with a = 3.6079 Å, b = 3.6079 Å, c = 18.6050 Å, α = 90.00°, β = 90.00° and γ = 90.00°. The inequivalent atoms are Ta at (0.0000, 0.0000, 0.0000), Fe at (0.2496, 0.2500, 0.1250) and Rh at (0.0000, 0.0000, 0.5000).



C.
A geometry-optimized TaFe2Rh structure, computed with PBE-GGA.

Its volume is 55.81 Å³/cell.

It has space group P4mm (No. 99), with a = 3.1097 Å, b = 3.1097 Å, c = 5.7716 Å, α = 90.00°, β = 90.00° and γ = 90.00°. The inequivalent atoms are Ta at (0.0000, 0.0000, 0.0000), Fe at (0.0000, 0.0000, 0.4655), Fe at (0.5000, 0.5000, 0.2474) and Rh at (0.5000, 0.5000, 0.7303).



Stability, highest: C



A.
A geometry-optimized TaFe2Rh structure, computed with PBE-GGA.

Its volume is 172.75 Å³/cell.

It has space group R3m (No. 160, hexagonal axes), with a = 2.8244 Å, b = 2.8244 Å, c = 25.0049 Å, α = 90.00°, β = 90.00° and γ = 120.00°. The inequivalent atoms are Ta at (0.0000, 0.0000, 0.0000), Fe at (0.0000, 0.0000, 0.4945), Fe at (0.0000, 0.0000, 0.7541) and Rh at (0.0000, 0.0000, 0.2451).



B.
A geometry-optimized TaFe2Rh structure, computed with PBE-GGA.

Its volume is 223.54 Å³/cell.

It has space group F-43m (No. 216), with a = 6.0690 Å, b = 6.0690 Å, c = 6.0690 Å, α = 90.00°, β = 90.00° and γ = 90.00°. The inequivalent atoms are Ta at (0.0000, 0.0000, 0.0000), Fe at (0.0000, 0.0000, 0.5000), Fe at (0.2500, 0.2500, 0.2500) and Rh at (0.2500, 0.2500, 0.7500).



C.
A geometry-optimized TaFe2Rh structure, computed with PBE-GGA.

Its volume is 112.76 Å³/cell.

It has space group C2/m (No. 12), with a = 5.2136 Å, b = 8.4829 Å, c = 2.7161 Å, α = 90.00°, β = 110.16° and γ = 90.00°. The inequivalent atoms are Ta at (0.0000, 0.0000, 0.0000), Fe at (0.2500, 0.2500, 0.5000) and Rh at (0.0000, 0.5000, 0.0000).



Stability, highest: B



A.
A geometry-optimized TaFe2Rh structure, computed with PBE-GGA.

Its volume is 111.67 Å³/cell.

It has space group I4/mmm (No. 139), with a = 3.7046 Å, b = 3.7046 Å, c = 8.1373 Å, α = 90.00°, β = 90.00° and γ = 90.00°. The inequivalent atoms are Ta at (0.0000, 0.0000, 0.0000), Fe at (0.0000, 0.5000, 0.2500) and Rh at (0.0000, 0.0000, 0.5000).



B.
A geometry-optimized TaFe2Rh structure, computed with PBE-GGA.

Its volume is 110.57 Å³/cell.

It has space group I-4m2 (No. 119), with a = 3.7609 Å, b = 3.7609 Å, c = 7.8176 Å, α = 90.00°, β = 90.00° and γ = 90.00°. The inequivalent atoms are Ta at (0.0000, 0.0000, 0.0000), Fe at (0.0000, 0.0000, 0.5000), Fe at (0.0000, 0.5000, 0.7500) and Rh at (0.0000, 0.5000, 0.2500).



Stability, highest: B



A.
A geometry-optimized TaFeRh structure, computed with PBE-GGA.

Its volume is 88.55 Å³/cell.

It has space group Imm2 (No. 44), with a = 2.9446 Å, b = 3.4812 Å, c = 8.6381 Å, α = 90.00°, β = 90.00° and γ = 90.00°. The inequivalent atoms are Ta at (0.0000, 0.0000, 0.0000), Fe at (0.0000, 0.0000, 0.3365) and Rh at (0.0000, 0.0000, 0.6730).



B.
A geometry-optimized TaFeRh structure, computed with PBE-GGA.

Its volume is 88.35 Å³/cell.

It has space group I4mm (No. 107), with a = 2.8127 Å, b = 2.8127 Å, c = 11.1678 Å, α = 90.00°, β = 90.00° and γ = 90.00°. The inequivalent atoms are Ta at (0.0000, 0.0000, 0.0000), Fe at (0.0000, 0.0000, 0.6711) and Rh at (0.0000, 0.0000, 0.3221).



Stability, highest: A